The following is a PBE calculation of a relaxed structure of SrTaTcW2, from Alexandria via LeMat-Bulk.

Lattice parameters (Å, degrees): 4.911 4.911 4.928 90.00 90.00 90.00
Space group P4/mmm (No. 123)
Unique sites:
Sr (0.000, 0.000, 0.000) (multiplicity 1)
Ta (0.500, 0.500, 0.500) (multiplicity 1)
Tc (0.500, 0.500, 0.000) (multiplicity 1)
W (0.000, 0.500, 0.500) (multiplicity 2)

**Final energy**: -8.286 eV/atom
**Calculated formation energy**: 8.38 eV per formula unit